1.
A plane-wave DFT calculation with PBE was carried out for a relaxed structure of Sc2SbIr.

Unit cell a=3.232 b=3.232 c=7.999 alpha=90.00 beta=90.00 gamma=90.00
Space group P4mm (No. 99)
One atom of each set of equivalent atoms:
Sc: 0.000 0.000 0.000 x1
Sc: 0.500 0.500 0.320 x1
Sb: 0.500 0.500 0.743 x1
Ir: 0.000 0.000 0.521 x1

Fermi-level density of states   4.4 states/eV/cell

=====

2.
A plane-wave DFT calculation with PBE was carried out for a relaxed structure of Sc2SbIr.

Unit cell a=6.722 b=6.722 c=6.722 alpha=90.00 beta=90.00 gamma=90.00
Space group F-43m (No. 216)
One atom of each set of equivalent atoms:
Sc: 0.000 0.000 0.000 x4
Sc: 0.250 0.250 0.250 x4
Sb: 0.250 0.250 0.750 x4
Ir: 0.000 0.000 0.500 x4

Fermi-level density of states   26.2 states/eV/cell

=====

3.
A plane-wave DFT calculation with PBE was carried out for a relaxed structure of Sc2SbIr.

Unit cell a=3.2845 b=3.2845 c=27.7692 alpha=90.00 beta=90.00 gamma=120.00
Space group R3m (No. 160, hexagonal axes)
One atom of each set of equivalent atoms:
Sc: 0.0000 0.0000 0.0000 x3
Sc: 0.0000 0.0000 0.2325 x3
Sb: 0.0000 0.0000 0.7544 x3
Ir: 0.0000 0.0000 0.4986 x3

Fermi-level density of states   15.8 states/eV/cell

=====

4.
A plane-wave DFT calculation with PBE was carried out for a relaxed structure of Sc2SbIr.

Unit cell a=3.6939 b=3.6939 c=26.6681 alpha=90.00 beta=90.00 gamma=120.00
Space group R-3m (No. 166, hexagonal axes)
One atom of each set of equivalent atoms:
Sc: 0.0000 0.0000 0.1113 x6
Sb: 0.0000 0.0000 0.0000 x3
Ir: 0.0000 0.0000 0.5000 x3

Fermi-level density of states   8.5 states/eV/cell

=====

Which uncorrected formation energy belongs to each record? In order, -0.32, -0.42, -0.11, -0.36 eV/atom.